EuTlCd | PBE | optimized geometry

Summary:
Calculated volume ... 85.66 Å³ per cell
Total energy ... -4.86 eV per atom
SG ... P-6m2 (187)
Calculated formation energy ... -0.346 eV/atom

```
data_EuTlCd
_cell_length_a 5.171
_cell_length_b 5.171
_cell_length_c 3.699
_cell_angle_alpha 90.00
_cell_angle_beta 90.00
_cell_angle_gamma 120.00
_space_group_name_H-M_alt 'P 1'
_space_group_IT_number 1
_space_group_name_Hall 'P 1'
loop_
_atom_site_label
_atom_site_fract_x
_atom_site_fract_y
_atom_site_fract_z
Eu1 0.000 0.000 0.000
Tl1 0.333 0.667 0.500
Cd1 0.667 0.333 0.500
```